! Ho4Hg2B (GGA-PBE, relaxed); values from VASP
&SYSTEM
  ibrav = 0, nat = 7, ntyp = 3
/
ATOMIC_SPECIES
Ho 164.93 Ho.upf
Hg 200.59 Hg.upf
B 10.81 B.upf
CELL_PARAMETERS angstrom
-2.4789 2.4789 7.4950
2.4789 -2.4789 7.4950
2.4789 2.4789 -7.4950
ATOMIC_POSITIONS angstrom
Ho 2.4789 0.0000 0.0000
Ho 0.0000 0.0000 2.5819
Ho 0.0000 2.4789 0.0000
Ho 0.0000 0.0000 12.4081
Hg 0.0000 0.0000 5.5451
Hg 0.0000 0.0000 9.4449
B 0.0000 0.0000 0.0000
! * space-group type: No. 139
! * spin magnetization: 0.001 μB/f.u.
! * energy of formation from the pure elements: -0.2020 eV/atom
! * total DFT energy (no corrections): -3.86 eV/atom

=====

! NpAgH2 (GGA-PBE, relaxed); values from VASP
&SYSTEM
  ibrav = 0, nat = 4, ntyp = 3
/
ATOMIC_SPECIES
Np 237.00 Np.upf
Ag 107.87 Ag.upf
H 1.01 H.upf
CELL_PARAMETERS angstrom
1.5253 0.8806 6.3417
-1.5253 0.8806 6.3417
0.0000 -1.7612 6.3417
ATOMIC_POSITIONS angstrom
Np 0.0000 0.0000 0.0000
Ag 0.0000 0.0000 9.5126
H 0.0000 0.0000 7.7052
H 0.0000 0.0000 11.3199
! * space-group type: No. 166
! * spin magnetization: 3.496 μB/f.u.
! * total DFT energy (no corrections): -5.51 eV/atom

=====

! CaSmTlHg (GGA-PBE, relaxed); values from VASP
&SYSTEM
  ibrav = 0, nat = 4, ntyp = 4
/
ATOMIC_SPECIES
Ca 40.08 Ca.upf
Sm 150.36 Sm.upf
Tl 204.38 Tl.upf
Hg 200.59 Hg.upf
CELL_PARAMETERS angstrom
0.0000 3.8280 3.8280
3.8280 0.0000 3.8280
3.8280 3.8280 0.0000
ATOMIC_POSITIONS angstrom
Ca 0.0000 0.0000 0.0000
Sm 3.8280 3.8280 3.8280
Tl 1.9140 1.9140 1.9140
Hg 5.7420 5.7420 5.7420
! * space-group type: No. 216
! * spin magnetization: 0.000 μB/f.u.
! * energy of formation from the pure elements: -0.4860 eV/atom
! * total DFT energy (no corrections): -2.83 eV/atom